Record 1
# Y2RuPbCl GGA-PBEsol relaxed
# **Energy relative to the elements, uncorrected**: -0.33 eV/atom
data_Y2RuPbCl
_chemical_formula_sum 'Y2 Ru1 Pb1 Cl1'
_symmetry_space_group_name_H-M 'P 4/m m m'
_symmetry_Int_Tables_number 123
_symmetry_space_group_name_Hall '-P 4 2'
_cell_length_a 5.299
_cell_length_b 5.299
_cell_length_c 5.079
_cell_angle_alpha 90.00
_cell_angle_beta 90.00
_cell_angle_gamma 90.00
loop_
_atom_site_label
_atom_site_fract_x
_atom_site_fract_y
_atom_site_fract_z
_atom_site_occupancy
Y1 0.000 0.500 0.000 1
Ru1 0.000 0.000 0.000 1
Pb1 0.000 0.000 0.500 1
Cl1 0.500 0.500 0.500 1

---

Record 2
# Te2PAu GGA-PBEsol relaxed
# **Energy relative to the elements, uncorrected**: 0.55 eV/atom
data_Te2PAu
_chemical_formula_sum 'Te8 P4 Au4'
_symmetry_space_group_name_H-M 'F -4 3 m'
_symmetry_Int_Tables_number 216
_symmetry_space_group_name_Hall 'F -4 2 3'
_cell_length_a 6.986
_cell_length_b 6.986
_cell_length_c 6.986
_cell_angle_alpha 90.00
_cell_angle_beta 90.00
_cell_angle_gamma 90.00
loop_
_atom_site_label
_atom_site_fract_x
_atom_site_fract_y
_atom_site_fract_z
_atom_site_occupancy
Te1 0.000 0.000 0.000 1
Te2 0.250 0.250 0.250 1
P1 0.000 0.000 0.500 1
Au1 0.250 0.250 0.750 1

---

Record 3
# LiCa2Ir GGA-PBEsol relaxed
# **Formation energy from the elements**: -0.541 eV/f.u.
# **Energy above the most stable polymorph in this dataset**: 51 meV/atom
data_LiCa2Ir
_chemical_formula_sum 'Li1 Ca2 Ir1'
_symmetry_space_group_name_H-M 'P 4/m m m'
_symmetry_Int_Tables_number 123
_symmetry_space_group_name_Hall '-P 4 2'
_cell_length_a 3.393
_cell_length_b 3.393
_cell_length_c 8.557
_cell_angle_alpha 90.00
_cell_angle_beta 90.00
_cell_angle_gamma 90.00
loop_
_atom_site_label
_atom_site_fract_x
_atom_site_fract_y
_atom_site_fract_z
_atom_site_occupancy
Li1 0.000 0.000 0.000 1
Ca1 0.500 0.500 0.308 1
Ir1 0.000 0.000 0.500 1

---

| no. | spin magnetization (μB per atom) |
| --- | --- |
| 1 | 0.000 |
| 2 | 0.000 |
| 3 | 0.000 |